[1]
Computed, not measured: a relaxed structure of PmNd2DySc at the PBE-GGA level of DFT.

**ΔH_f (0 K)**: 350 meV per atom
**Theoretical density**: 6.23 g/cm3
**Space group**: Cmcm

a b c (Å): 7.2004 8.2734 7.0697
angles (deg): 125.81 90.00 90.00
Element x y z (fractional)
Sc 0.7500 0.0120 0.0240
Sc 0.2500 0.9880 0.9760
Dy 0.2500 0.2570 0.5140
Dy 0.7500 0.7430 0.4860
Pm 0.7500 0.2726 0.5452
Pm 0.2500 0.7274 0.4548
Nd 0.0000 0.3006 0.0000
Nd 0.0000 0.6994 0.0000
Nd 0.5000 0.6994 0.0000
Nd 0.5000 0.3006 0.0000

***

[2]
Computed, not measured: a relaxed structure of Pm2Nd5DySc at the PBE-GGA level of DFT.

**ΔH_f (0 K)**: 117 meV per atom
**Theoretical density**: 6.58 g/cm3
**Space group**: Cmcm

a b c (Å): 5.4315 11.3802 10.2432
angles (deg): 90.00 90.00 103.81
Element x y z (fractional)
Dy 0.6025 0.2051 0.0081
Dy 0.3975 0.7949 0.5081
Nd 0.6277 0.2554 0.5082
Nd 0.2775 0.5550 0.3206
Nd 0.5000 0.9999 0.2581
Nd 0.7225 0.4450 0.8206
Nd 0.5000 0.0001 0.7581
Nd 0.0001 0.0002 0.5082
Nd 0.3723 0.7446 0.0082
Nd 0.9999 0.9998 0.0081
Nd 0.7223 0.4446 0.1961
Nd 0.2777 0.5554 0.6961
Pm 0.1159 0.2318 0.2595
Pm 0.1160 0.2321 0.7567
Pm 0.8840 0.7679 0.2567
Pm 0.8841 0.7682 0.7595
Sc 0.2119 0.4239 0.0084
Sc 0.7881 0.5761 0.5084

***

[3]
Computed, not measured: a relaxed structure of Pm6NdDy2Sc at the PBE-GGA level of DFT.

**ΔH_f (0 K)**: 126 meV per atom
**Theoretical density**: 6.93 g/cm3
**Space group**: C2/c

a b c (Å): 9.3588 8.9576 8.9576
angles (deg): 117.44 92.71 92.71
Element x y z (fractional)
Pm 0.3037 0.0086 0.4417
Pm 0.6963 0.9914 0.5583
Pm 0.3899 0.5148 0.2873
Pm 0.9467 0.8739 0.2311
Pm 0.0533 0.1261 0.7689
Pm 0.1963 0.5583 0.9914
Pm 0.8899 0.2873 0.5148
Pm 0.1101 0.7127 0.4852
Pm 0.6101 0.4852 0.7127
Pm 0.8037 0.4417 0.0086
Pm 0.4467 0.2311 0.8739
Pm 0.5533 0.7689 0.1261
Sc 0.7500 0.5782 0.4218
Sc 0.2500 0.4218 0.5782
Dy 0.5500 0.2078 0.3105
Dy 0.9500 0.6895 0.7922
Dy 0.0500 0.3105 0.2078
Dy 0.4500 0.7922 0.6895
Nd 0.2500 0.9730 0.0270
Nd 0.7500 0.0270 0.9730

***

The records above give, respectively, spin magnetization values of 0.00; 0.00; 0.00 μB per cell.